Compound: SmZnGa5Pd2
Source: Alexandria via LeMat-Bulk
Functional: GGA-PBE
Structure: relaxed

The structure in POSCAR format:
```
SmZnGa5Pd2
1.0
4.245 0.000 0.000
0.000 4.245 0.000
0.000 0.000 10.512
Sm Zn Ga Pd
1 1 5 2
direct
0.000 0.000 0.000
0.000 0.000 0.500
0.000 0.500 0.349
0.000 0.500 0.651
0.500 0.000 0.349
0.500 0.000 0.651
0.500 0.500 0.000
0.500 0.500 0.224
0.500 0.500 0.776
```

Results
energy of formation from the pure elements: -0.2573 eV/atom
N(E_F): 4.33 states/eV per cell
E: -3.76 eV/atom
total magnetic moment: 0.00 μB per cell
space-group type: P4/mmm

Compound: Sm2ZnGa3Pd4
Source: Alexandria via LeMat-Bulk
Functional: GGA-PBE
Structure: relaxed

The structure in POSCAR format:
```
Sm2ZnGa3Pd4
1.0
4.290 0.000 0.000
0.000 4.290 0.000
0.000 0.000 10.406
Sm Zn Ga Pd
2 1 3 4
direct
0.000 0.500 0.247
0.500 0.000 0.753
0.000 0.000 0.500
0.000 0.500 0.872
0.500 0.000 0.128
0.500 0.500 0.500
0.000 0.000 0.000
0.000 0.500 0.634
0.500 0.000 0.366
0.500 0.500 0.000
```

Results
energy of formation from the pure elements: -0.7612 eV/atom
N(E_F): 6.92 states/eV per cell
E: -4.82 eV/atom
total magnetic moment: 0.00 μB per cell
space-group type: P-4m2

Compound: Sm2ZnGa4Pd3
Source: Alexandria via LeMat-Bulk
Functional: GGA-PBE
Structure: relaxed

The structure in POSCAR format:
```
Sm2ZnGa4Pd3
1.0
4.225 0.000 0.000
0.000 4.225 0.000
0.000 0.000 10.737
Sm Zn Ga Pd
2 1 4 3
direct
0.000 0.500 0.247
0.500 0.000 0.753
0.000 0.000 0.500
0.000 0.000 0.000
0.000 0.500 0.635
0.500 0.000 0.365
0.500 0.500 0.000
0.000 0.500 0.866
0.500 0.000 0.134
0.500 0.500 0.500
```

Results
energy of formation from the pure elements: -0.7208 eV/atom
N(E_F): 6.22 states/eV per cell
E: -4.56 eV/atom
total magnetic moment: 0.00 μB per cell
space-group type: P-4m2

Compound: Sm2ZnGaPd6
Source: Alexandria via LeMat-Bulk
Functional: GGA-PBE
Structure: relaxed

The structure in POSCAR format:
```
Sm2ZnGaPd6
1.0
4.906 -2.831 0.000
4.906 2.831 0.000
-3.285 0.000 7.607
Sm Zn Ga Pd
2 1 1 6
direct
0.207 0.207 0.119
0.793 0.793 0.881
0.500 0.500 0.000
0.000 0.000 0.500
0.248 0.749 0.748
0.249 0.249 0.750
0.251 0.752 0.252
0.749 0.248 0.748
0.751 0.751 0.250
0.752 0.251 0.252
```

Results
energy of formation from the pure elements: -0.5878 eV/atom
N(E_F): 3.83 states/eV per cell
E: -5.08 eV/atom
total magnetic moment: 0.00 μB per cell
space-group type: C2/m

Compound: SmZn8Ga2Pd
Source: Alexandria via LeMat-Bulk
Functional: GGA-PBE
Structure: relaxed

The structure in POSCAR format:
```
SmZn8Ga2Pd
1.0
3.778 -2.454 0.000
3.778 2.454 0.000
-2.220 0.000 11.389
Sm Zn Ga Pd
1 8 2 1
direct
0.000 0.000 0.000
0.196 0.700 0.687
0.262 0.262 0.830
0.300 0.804 0.313
0.331 0.331 0.458
0.669 0.669 0.542
0.700 0.196 0.687
0.738 0.738 0.170
0.804 0.300 0.313
0.372 0.372 0.132
0.628 0.628 0.868
0.000 0.000 0.500
```

Results
energy of formation from the pure elements: -0.1843 eV/atom
N(E_F): 3.14 states/eV per cell
E: -2.36 eV/atom
total magnetic moment: 0.00 μB per cell
space-group type: C2/m

Compound: SmZn2GaPd2
Source: Alexandria via LeMat-Bulk
Functional: GGA-PBE
Structure: relaxed

The structure in POSCAR format:
```
SmZn2GaPd2
1.0
4.669 0.000 0.000
0.000 4.669 0.000
0.000 0.000 5.626
Sm Zn Ga Pd
1 2 1 2
direct
0.000 0.000 0.000
0.500 0.500 0.238
0.500 0.500 0.762
0.000 0.000 0.500
0.000 0.500 0.500
0.500 0.000 0.500
```

Results
energy of formation from the pure elements: -0.3077 eV/atom
N(E_F): 3.36 states/eV per cell
E: -3.75 eV/atom
total magnetic moment: 0.00 μB per cell
space-group type: P4/mmm

Compound: SmZrGa2Pd5
Source: Alexandria via LeMat-Bulk
Functional: GGA-PBE
Structure: relaxed

The structure in POSCAR format:
```
SmZrGa2Pd5
1.0
4.136 0.000 0.000
0.000 4.136 0.000
0.000 0.000 9.361
Sm Zr Ga Pd
1 1 2 5
direct
0.000 0.000 0.000
0.000 0.000 0.500
0.500 0.500 0.373
0.500 0.500 0.627
0.000 0.500 0.228
0.000 0.500 0.772
0.500 0.000 0.228
0.500 0.000 0.772
0.500 0.500 0.000
```

Results
energy of formation from the pure elements: -0.6486 eV/atom
N(E_F): 6.37 states/eV per cell
E: -5.68 eV/atom
total magnetic moment: 0.00 μB per cell
space-group type: P4/mmm

Compound: SmZrGaPd
Source: Alexandria via LeMat-Bulk
Functional: GGA-PBE
Structure: relaxed

The structure in POSCAR format:
```
SmZrGaPd
1.0
0.000 3.498 3.498
3.498 0.000 3.498
3.498 3.498 0.000
Sm Zr Ga Pd
1 1 1 1
direct
0.000 0.000 0.000
0.500 0.500 0.500
0.250 0.250 0.250
0.750 0.750 0.750
```

Results
energy of formation from the pure elements: -0.4781 eV/atom
N(E_F): 4.63 states/eV per cell
E: -5.85 eV/atom
total magnetic moment: 0.58 μB per cell
space-group type: F-43m

Compound: GaSnPd2
Source: Alexandria via LeMat-Bulk
Functional: GGA-PBE
Structure: relaxed

The structure in POSCAR format:
```
GaSnPd2
1.0
5.155 0.000 0.000
0.001 5.451 0.000
2.576 0.659 5.057
Ga Sn Pd
2 2 4
direct
0.000 0.000 0.000
0.167 0.500 0.998
0.198 0.838 0.408
0.606 0.160 0.591
0.087 0.355 0.618
0.539 0.246 0.112
0.654 0.753 0.886
0.707 0.643 0.380
```

Results
energy of formation from the pure elements: -0.4057 eV/atom
N(E_F): 3.08 states/eV per cell
E: -4.76 eV/atom
energy relative to the lowest polymorph listed for this composition: 77.7 meV per atom
total magnetic moment: 0.00 μB per cell
space-group type: P1

Compound: Ga3Sn2Pd8
Source: Alexandria via LeMat-Bulk
Functional: GGA-PBE
Structure: relaxed

The structure in POSCAR format:
```
Ga3Sn2Pd8
1.0
4.744 -4.349 0.000
4.744 4.349 0.000
-3.799 0.000 6.158
Ga Sn Pd
3 2 8
direct
0.000 0.000 0.000
0.255 0.745 0.500
0.745 0.255 0.500
0.288 0.288 0.877
0.712 0.712 0.123
0.112 0.112 0.425
0.150 0.685 0.114
0.315 0.850 0.886
0.455 0.455 0.658
0.545 0.545 0.342
0.685 0.150 0.114
0.850 0.315 0.886
0.888 0.888 0.575
```

Results
energy of formation from the pure elements: -0.2944 eV/atom
N(E_F): 6.02 states/eV per cell
E: -4.80 eV/atom
total magnetic moment: 0.00 μB per cell
space-group type: C2/m

Compound: Ga2Sn3Pd4
Source: Alexandria via LeMat-Bulk
Functional: GGA-PBE
Structure: relaxed

The structure in POSCAR format:
```
Ga2Sn3Pd4
1.0
5.057 -4.846 0.000
5.057 4.846 0.000
-1.292 0.000 7.156
Ga Sn Pd
4 6 8
direct
0.051 0.332 0.125
0.332 0.051 0.625
0.668 0.949 0.375
0.949 0.668 0.875
0.153 0.847 0.250
0.220 0.468 0.627
0.468 0.220 0.127
0.532 0.780 0.873
0.780 0.532 0.373
0.847 0.153 0.750
0.012 0.816 0.573
0.184 0.988 0.927
0.295 0.554 0.026
0.446 0.705 0.474
0.554 0.295 0.526
0.705 0.446 0.974
0.816 0.012 0.073
0.988 0.184 0.427
```

Results
energy of formation from the pure elements: -0.3900 eV/atom
N(E_F): 7.00 states/eV per cell
E: -4.70 eV/atom
total magnetic moment: 0.00 μB per cell
space-group type: C2/c

Compound: Ga2SnPd4
Source: Alexandria via LeMat-Bulk
Functional: GGA-PBE
Structure: relaxed

The structure in POSCAR format:
```
Ga2SnPd4
1.0
1.517 -7.799 0.000
1.517 7.799 0.000
0.000 0.000 10.320
Ga Sn Pd
4 2 8
direct
0.130 0.870 0.565
0.130 0.870 0.935
0.870 0.130 0.065
0.870 0.130 0.435
0.383 0.617 0.750
0.617 0.383 0.250
0.026 0.974 0.750
0.241 0.759 0.117
0.241 0.759 0.383
0.500 0.500 0.000
0.500 0.500 0.500
0.759 0.241 0.617
0.759 0.241 0.883
0.974 0.026 0.250
```

Results
energy of formation from the pure elements: -0.4388 eV/atom
N(E_F): 3.80 states/eV per cell
E: -4.84 eV/atom
energy relative to the lowest polymorph listed for this composition: 0.0 meV per atom
total magnetic moment: 0.00 μB per cell
space-group type: Cmcm

Compound: GaSnPd6
Source: Alexandria via LeMat-Bulk
Functional: GGA-PBE
Structure: relaxed

The structure in POSCAR format:
```
GaSnPd6
1.0
3.797 -2.747 0.000
3.797 2.747 0.000
-2.647 0.000 6.811
Ga Sn Pd
1 1 6
direct
0.000 0.000 0.000
0.500 0.500 0.500
0.072 0.559 0.706
0.345 0.345 0.056
0.441 0.928 0.294
0.559 0.072 0.706
0.655 0.655 0.944
0.928 0.441 0.294
```

Results
energy of formation from the pure elements: -0.3006 eV/atom
N(E_F): 4.08 states/eV per cell
E: -5.07 eV/atom
energy relative to the lowest polymorph listed for this composition: 176.2 meV per atom
total magnetic moment: 0.00 μB per cell
space-group type: C2/m

Compound: GaSnPd2
Source: Alexandria via LeMat-Bulk
Functional: GGA-PBE
Structure: relaxed

The structure in POSCAR format:
```
GaSnPd2
1.0
0.000 3.237 3.237
3.237 0.000 3.237
3.237 3.237 0.000
Ga Sn Pd
1 1 2
direct
0.000 0.000 0.000
0.500 0.500 0.500
0.250 0.250 0.250
0.750 0.750 0.750
```

Results
energy of formation from the pure elements: -0.4443 eV/atom
N(E_F): 1.42 states/eV per cell
E: -4.80 eV/atom
energy relative to the lowest polymorph listed for this composition: 39.0 meV per atom
total magnetic moment: 0.00 μB per cell
space-group type: Fm-3m

Compound: GaSnPd2
Source: Alexandria via LeMat-Bulk
Functional: GGA-PBE
Structure: relaxed

The structure in POSCAR format:
```
GaSnPd2
1.0
3.164 0.000 0.000
0.000 3.164 0.000
0.000 0.000 6.814
Ga Sn Pd
1 1 2
direct
0.000 0.000 0.000
0.000 0.000 0.500
0.500 0.500 0.214
0.500 0.500 0.786
```

Results
energy of formation from the pure elements: -0.4833 eV/atom
N(E_F): 0.80 states/eV per cell
E: -4.84 eV/atom
energy relative to the lowest polymorph listed for this composition: 0.0 meV per atom
total magnetic moment: 0.00 μB per cell
space-group type: P4/mmm

Compound: GaSn2Pd2
Source: Alexandria via LeMat-Bulk
Functional: GGA-PBE
Structure: relaxed

The structure in POSCAR format:
```
GaSn2Pd2
1.0
-2.031 2.031 6.549
2.031 -2.031 6.549
2.031 2.031 -6.549
Ga Sn Pd
1 2 2
direct
0.000 0.000 0.000
0.387 0.387 0.000
0.613 0.613 0.000
0.250 0.750 0.500
0.750 0.250 0.500
```

Results
energy of formation from the pure elements: -0.1845 eV/atom
N(E_F): 1.98 states/eV per cell
E: -4.47 eV/atom
energy relative to the lowest polymorph listed for this composition: 93.3 meV per atom
total magnetic moment: 0.00 μB per cell
space-group type: I4/mmm

Compound: GaSn6Pd12
Source: Alexandria via LeMat-Bulk
Functional: GGA-PBE
Structure: relaxed

The structure in POSCAR format:
```
GaSn6Pd12
1.0
5.639 3.256 3.387
-5.639 3.256 3.387
0.000 -6.512 3.387
Ga Sn Pd
1 6 12
direct
0.000 0.000 0.000
0.155 0.502 0.252
0.252 0.155 0.502
0.498 0.748 0.845
0.502 0.252 0.155
0.748 0.845 0.498
0.845 0.498 0.748
0.019 0.840 0.293
0.160 0.707 0.981
0.179 0.499 0.619
0.293 0.019 0.840
0.381 0.821 0.501
0.499 0.619 0.179
0.501 0.381 0.821
0.619 0.179 0.499
0.707 0.981 0.160
0.821 0.501 0.381
0.840 0.293 0.019
0.981 0.160 0.707
```

Results
energy of formation from the pure elements: -0.3488 eV/atom
N(E_F): 10.08 states/eV per cell
E: -5.05 eV/atom
total magnetic moment: 0.00 μB per cell
space-group type: R-3

Compound: Ga2SnPd4
Source: Alexandria via LeMat-Bulk
Functional: GGA-PBE
Structure: relaxed

The structure in POSCAR format:
```
Ga2SnPd4
1.0
-2.467 2.467 6.364
2.467 -2.467 6.364
2.467 2.467 -6.364
Ga Sn Pd
2 1 4
direct
0.106 0.106 0.000
0.894 0.894 0.000
0.500 0.500 0.000
0.000 0.500 0.500
0.294 0.294 0.000
0.500 0.000 0.500
0.706 0.706 0.000
```

Results
energy of formation from the pure elements: 0.2103 eV/atom
N(E_F): 5.39 states/eV per cell
E: -4.19 eV/atom
energy relative to the lowest polymorph listed for this composition: 649.1 meV per atom
total magnetic moment: 0.00 μB per cell
space-group type: I4/mmm

Compound: Ga5Sn12Pd3
Source: Alexandria via LeMat-Bulk
Functional: GGA-PBE
Structure: relaxed

The structure in POSCAR format:
```
Ga5Sn12Pd3
1.0
-8.065 8.065 8.065
8.065 -8.065 8.065
8.065 8.065 -8.065
Ga Sn Pd
20 48 12
direct
0.000 0.000 0.000
0.000 0.000 0.500
0.000 0.500 0.000
0.000 0.500 0.500
0.125 0.750 0.875
0.125 0.875 0.250
0.250 0.125 0.875
0.250 0.625 0.375
0.375 0.250 0.625
0.375 0.625 0.750
0.500 0.000 0.000
0.500 0.000 0.500
0.500 0.500 0.000
0.500 0.500 0.500
0.625 0.375 0.250
0.625 0.750 0.375
0.750 0.375 0.625
0.750 0.875 0.125
0.875 0.125 0.750
0.875 0.250 0.125
0.063 0.233 0.130
0.063 0.330 0.932
0.068 0.630 0.397
0.068 0.937 0.670
0.103 0.733 0.670
0.103 0.870 0.432
0.130 0.063 0.233
0.130 0.568 0.897
0.170 0.233 0.603
0.170 0.437 0.568
0.233 0.130 0.063
0.233 0.603 0.170
0.267 0.330 0.897
0.267 0.437 0.370
0.330 0.897 0.267
0.330 0.932 0.063
0.370 0.267 0.437
0.370 0.603 0.932
0.397 0.068 0.630
0.397 0.830 0.767
0.432 0.103 0.870
0.432 0.830 0.563
0.437 0.370 0.267
0.437 0.568 0.170
0.563 0.432 0.830
0.563 0.630 0.733
0.568 0.170 0.437
0.568 0.897 0.130
0.603 0.170 0.233
0.603 0.932 0.370
0.630 0.397 0.068
0.630 0.733 0.563
0.670 0.068 0.937
0.670 0.103 0.733
0.733 0.563 0.630
0.733 0.670 0.103
0.767 0.397 0.830
0.767 0.870 0.937
0.830 0.563 0.432
0.830 0.767 0.397
0.870 0.432 0.103
0.870 0.937 0.767
0.897 0.130 0.568
0.897 0.267 0.330
0.932 0.063 0.330
0.932 0.370 0.603
0.937 0.670 0.068
0.937 0.767 0.870
0.125 0.250 0.375
0.125 0.375 0.750
0.250 0.375 0.125
0.250 0.875 0.625
0.375 0.125 0.250
0.375 0.750 0.125
0.625 0.250 0.875
0.625 0.875 0.750
0.750 0.125 0.375
0.750 0.625 0.875
0.875 0.625 0.250
0.875 0.750 0.625
```

Results
energy of formation from the pure elements: -0.0391 eV/atom
N(E_F): 36.53 states/eV per cell
E: -3.98 eV/atom
total magnetic moment: 0.00 μB per cell
space-group type: Ia-3d